Ta4SiSbC2 | GGA-PBE | optimized geometry

## Properties
For the total energy, the calculation gives -9.8259 eV per atom. Its space group is P-6m2, No. 187.

a b c (Å): 3.2994 3.2994 12.6558
angles (deg): 90.00 90.00 120.00
Closest atoms and distances in Å follow each position.
Fractional positions:
Ta 0.0000 0.0000 0.1458  3 C 2.24
Ta 0.0000 0.0000 0.8542  3 C 2.24
Ta 0.6667 0.3333 0.3267  3 C 2.21
Ta 0.6667 0.3333 0.6733  3 C 2.21
Si 0.6667 0.3333 0.0000  6 Ta 2.65
Sb 0.0000 0.0000 0.5000  6 Ta 2.91
C 0.3333 0.6667 0.2387  6 Ta 2.21-2.24
C 0.3333 0.6667 0.7613  6 Ta 2.21-2.24



ZrNi | GGA-PBE | optimized geometry

## Properties
For the total energy, the calculation gives -7.3473 eV per atom. For the formation energy, the calculation gives -6.68 kcal/mol of atoms. Its space group is Pmc2_1, No. 26.

a b c (Å): 4.2071 9.4525 4.9772
angles (deg): 90.00 90.00 90.00
Closest atoms and distances in Å follow each position.
Fractional positions:
Zr 0.0000 0.0903 0.0000  3 Ni 2.62-2.78
Zr 0.0000 0.4046 0.1576  9 Ni 2.63-2.85
Zr 0.0000 0.5954 0.6576  9 Ni 2.63-2.85
Zr 0.0000 0.9097 0.5000  3 Ni 2.62-2.78
Zr 0.5000 0.1531 0.4694  5 Ni 2.64-2.87
Zr 0.5000 0.8469 0.9694  5 Ni 2.64-2.87
Ni 0.0000 0.2938 0.6434  4 Ni 2.55-2.59, 6 Zr 2.62-2.85
Ni 0.0000 0.7062 0.1434  4 Ni 2.55-2.59, 6 Zr 2.62-2.85
Ni 0.5000 0.2804 0.9449  4 Ni 2.56-2.74, 5 Zr 2.63-2.78
Ni 0.5000 0.4319 0.5183  6 Ni 2.55-2.80, 5 Zr 2.65-2.78
Ni 0.5000 0.5681 0.0183  6 Ni 2.55-2.80, 5 Zr 2.65-2.78
Ni 0.5000 0.7196 0.4449  4 Ni 2.56-2.74, 5 Zr 2.63-2.78